1.
DFT (PBE-GGA) results for a relaxed structure of Sm2CdTc.

Output
* E_form: -0.1022 eV/atom
* uncorrected energy: -5.282 eV/atom

CIF file:
```
data_Sm2CdTc
_chemical_formula_sum 'Sm2 Cd1 Tc1'
_cell_length_a 3.565
_cell_length_b 3.565
_cell_length_c 7.758
_cell_angle_alpha 90.00
_cell_angle_beta 90.00
_cell_angle_gamma 90.00
_symmetry_space_group_name_H-M 'P 1'
_symmetry_Int_Tables_number 1
_symmetry_space_group_name_Hall 'P 1'
loop_
_atom_site_label
_atom_site_fract_x
_atom_site_fract_y
_atom_site_fract_z
_atom_site_occupancy
Tc1 0.500 0.500 0.000 1
Sm1 0.000 0.000 0.785 1
Sm2 0.000 0.000 0.215 1
Cd1 0.500 0.500 0.500 1
```

2.
DFT (PBE-GGA) results for a relaxed structure of NdDyHo5.

Output
* E_form: 0.1959 eV/atom
* uncorrected energy: -4.413 eV/atom

CIF file:
```
data_NdDyHo5
_chemical_formula_sum 'Nd2 Dy2 Ho10'
_cell_length_a 6.738
_cell_length_b 6.738
_cell_length_c 13.644
_cell_angle_alpha 61.66
_cell_angle_beta 61.66
_cell_angle_gamma 60.21
_symmetry_space_group_name_H-M 'P 1'
_symmetry_Int_Tables_number 1
_symmetry_space_group_name_Hall 'P 1'
loop_
_atom_site_label
_atom_site_fract_x
_atom_site_fract_y
_atom_site_fract_z
_atom_site_occupancy
Nd1 0.722 0.278 0.750 1
Nd2 0.278 0.722 0.250 1
Dy1 0.000 0.000 0.000 1
Dy2 0.000 0.000 0.500 1
Ho1 0.164 0.393 0.752 1
Ho2 0.650 0.692 0.500 1
Ho3 0.393 0.164 0.252 1
Ho4 0.160 0.840 0.750 1
Ho5 0.308 0.350 0.000 1
Ho6 0.692 0.650 0.000 1
Ho7 0.840 0.160 0.250 1
Ho8 0.607 0.836 0.748 1
Ho9 0.350 0.308 0.500 1
Ho10 0.836 0.607 0.248 1
```

3.
DFT (PBE-GGA) results for a relaxed structure of VBi3W.

Output
* E_form: 1.2348 eV/atom
* uncorrected energy: -5.508 eV/atom

CIF file:
```
data_VBi3W
_chemical_formula_sum 'V1 Bi3 W1'
_cell_length_a 5.404
_cell_length_b 5.404
_cell_length_c 5.404
_cell_angle_alpha 90.00
_cell_angle_beta 90.00
_cell_angle_gamma 90.00
_symmetry_space_group_name_H-M 'P 1'
_symmetry_Int_Tables_number 1
_symmetry_space_group_name_Hall 'P 1'
loop_
_atom_site_label
_atom_site_fract_x
_atom_site_fract_y
_atom_site_fract_z
_atom_site_occupancy
Bi1 0.000 0.500 0.000 1
Bi2 0.000 0.000 0.500 1
Bi3 0.500 0.000 0.000 1
W1 0.000 0.000 0.000 1
V1 0.500 0.500 0.500 1
```

4.
DFT (PBE-GGA) results for a relaxed structure of CaBeCr2.

Output
* E_form: 0.3848 eV/atom
* uncorrected energy: -5.859 eV/atom

CIF file:
```
data_CaBeCr2
_chemical_formula_sum 'Ca1 Be1 Cr2'
_cell_length_a 4.037
_cell_length_b 4.037
_cell_length_c 5.810
_cell_angle_alpha 69.73
_cell_angle_beta 69.73
_cell_angle_gamma 59.99
_symmetry_space_group_name_H-M 'P 1'
_symmetry_Int_Tables_number 1
_symmetry_space_group_name_Hall 'P 1'
loop_
_atom_site_label
_atom_site_fract_x
_atom_site_fract_y
_atom_site_fract_z
_atom_site_occupancy
Cr1 0.064 0.064 0.808 1
Cr2 0.740 0.740 0.779 1
Ca1 0.253 0.253 0.242 1
Be1 0.443 0.443 0.670 1
```

5.
DFT (PBE-GGA) results for a relaxed structure of Sc2NiGeC.

Output
* E_form: 1.0646 eV/atom
* uncorrected energy: -5.393 eV/atom

CIF file:
```
data_Sc2NiGeC
_chemical_formula_sum 'Sc2 Ni1 Ge1 C1'
_cell_length_a 4.974
_cell_length_b 4.198
_cell_length_c 4.974
_cell_angle_alpha 90.00
_cell_angle_beta 90.00
_cell_angle_gamma 90.00
_symmetry_space_group_name_H-M 'P 1'
_symmetry_Int_Tables_number 1
_symmetry_space_group_name_Hall 'P 1'
loop_
_atom_site_label
_atom_site_fract_x
_atom_site_fract_y
_atom_site_fract_z
_atom_site_occupancy
Sc1 0.000 0.000 0.500 1
Sc2 0.500 0.000 0.000 1
Ni1 0.000 0.500 0.000 1
Ge1 0.000 0.000 0.000 1
C1 0.500 0.500 0.500 1
```

6.
DFT (PBE-GGA) results for a relaxed structure of NdInHg4.

Output
* E_form: -0.1050 eV/atom
* uncorrected energy: -1.557 eV/atom

CIF file:
```
data_NdInHg4
_chemical_formula_sum 'Nd1 In1 Hg4'
_cell_length_a 6.064
_cell_length_b 6.064
_cell_length_c 6.064
_cell_angle_alpha 60.00
_cell_angle_beta 60.00
_cell_angle_gamma 60.00
_symmetry_space_group_name_H-M 'P 1'
_symmetry_Int_Tables_number 1
_symmetry_space_group_name_Hall 'P 1'
loop_
_atom_site_label
_atom_site_fract_x
_atom_site_fract_y
_atom_site_fract_z
_atom_site_occupancy
Nd1 0.250 0.250 0.250 1
Hg1 0.625 0.625 0.126 1
Hg2 0.625 0.126 0.625 1
Hg3 0.625 0.625 0.625 1
Hg4 0.126 0.625 0.625 1
In1 0.000 0.000 0.000 1
```

7.
DFT (PBE-GGA) results for a relaxed structure of Ni5Ir.

Output
* E_form: 0.0229 eV/atom
* uncorrected energy: -6.272 eV/atom

CIF file:
```
data_Ni5Ir
_chemical_formula_sum 'Ni5 Ir1'
_cell_length_a 3.606
_cell_length_b 3.597
_cell_length_c 5.663
_cell_angle_alpha 108.52
_cell_angle_beta 90.00
_cell_angle_gamma 90.00
_symmetry_space_group_name_H-M 'P 1'
_symmetry_Int_Tables_number 1
_symmetry_space_group_name_Hall 'P 1'
loop_
_atom_site_label
_atom_site_fract_x
_atom_site_fract_y
_atom_site_fract_z
_atom_site_occupancy
Ni1 0.000 0.668 0.336 1
Ni2 0.000 0.332 0.664 1
Ni3 0.500 0.500 0.000 1
Ni4 0.500 0.170 0.339 1
Ni5 0.500 0.830 0.661 1
Ir1 0.000 0.000 0.000 1
```

8.
DFT (PBE-GGA) results for a relaxed structure of Ti2AgIr.

Output
* E_form: 0.0216 eV/atom
* uncorrected energy: -6.854 eV/atom

CIF file:
```
data_Ti2AgIr
_chemical_formula_sum 'Ti4 Ag2 Ir2'
_cell_length_a 7.171
_cell_length_b 7.171
_cell_length_c 5.767
_cell_angle_alpha 51.56
_cell_angle_beta 51.56
_cell_angle_gamma 90.00
_symmetry_space_group_name_H-M 'P 1'
_symmetry_Int_Tables_number 1
_symmetry_space_group_name_Hall 'P 1'
loop_
_atom_site_label
_atom_site_fract_x
_atom_site_fract_y
_atom_site_fract_z
_atom_site_occupancy
Ir1 0.000 0.000 0.000 1
Ir2 0.750 0.250 0.500 1
Ag1 0.500 0.500 0.000 1
Ag2 0.250 0.750 0.500 1
Ti1 0.657 0.125 0.250 1
Ti2 0.093 0.625 0.250 1
Ti3 0.375 0.343 0.750 1
Ti4 0.875 0.907 0.750 1
```

9.
DFT (PBE-GGA) results for a relaxed structure of Li2Cd3Ge.

Output
* E_form: -0.1335 eV/atom
* uncorrected energy: -1.999 eV/atom

CIF file:
```
data_Li2Cd3Ge
_chemical_formula_sum 'Li8 Cd12 Ge4'
_cell_length_a 4.539
_cell_length_b 6.908
_cell_length_c 15.295
_cell_angle_alpha 90.00
_cell_angle_beta 90.00
_cell_angle_gamma 90.00
_symmetry_space_group_name_H-M 'P 1'
_symmetry_Int_Tables_number 1
_symmetry_space_group_name_Hall 'P 1'
loop_
_atom_site_label
_atom_site_fract_x
_atom_site_fract_y
_atom_site_fract_z
_atom_site_occupancy
Li1 0.250 0.170 0.039 1
Li2 0.750 0.830 0.961 1
Li3 0.750 0.330 0.539 1
Li4 0.250 0.670 0.461 1
Li5 0.750 0.989 0.764 1
Li6 0.250 0.011 0.236 1
Li7 0.250 0.511 0.264 1
Li8 0.750 0.489 0.736 1
Cd1 0.250 0.259 0.763 1
Cd2 0.750 0.741 0.237 1
Cd3 0.750 0.241 0.263 1
Cd4 0.250 0.759 0.737 1
Cd5 0.750 0.252 0.903 1
Cd6 0.250 0.748 0.097 1
Cd7 0.250 0.248 0.403 1
Cd8 0.750 0.752 0.597 1
Cd9 0.250 0.045 0.577 1
Cd10 0.750 0.955 0.423 1
Cd11 0.750 0.455 0.077 1
Cd12 0.250 0.545 0.923 1
Ge1 0.250 0.464 0.612 1
Ge2 0.750 0.536 0.388 1
Ge3 0.750 0.036 0.112 1
Ge4 0.250 0.964 0.888 1
```

10.
DFT (PBE-GGA) results for a relaxed structure of Ag2HgCl.

Output
* formation energy (no corrections): 0.02 eV/atom
* uncorrected energy: -1.942 eV/atom

CIF file:
```
data_Ag2HgCl
_chemical_formula_sum 'Ag4 Hg2 Cl2'
_cell_length_a 7.486
_cell_length_b 7.486
_cell_length_c 6.222
_cell_angle_alpha 53.01
_cell_angle_beta 53.01
_cell_angle_gamma 90.00
_symmetry_space_group_name_H-M 'P 1'
_symmetry_Int_Tables_number 1
_symmetry_space_group_name_Hall 'P 1'
loop_
_atom_site_label
_atom_site_fract_x
_atom_site_fract_y
_atom_site_fract_z
_atom_site_occupancy
Hg1 0.000 0.000 0.000 1
Hg2 0.750 0.250 0.500 1
Ag1 0.611 0.125 0.250 1
Ag2 0.139 0.625 0.250 1
Ag3 0.375 0.389 0.750 1
Ag4 0.875 0.861 0.750 1
Cl1 0.500 0.500 0.000 1
Cl2 0.250 0.750 0.500 1
```

11.
DFT (PBE-GGA) results for a relaxed structure of BaNiS.

Output
* formation energy (no corrections): -1.04 eV/atom
* uncorrected energy: -4.980 eV/atom

CIF file:
```
data_BaNiS
_chemical_formula_sum 'Ba2 Ni2 S2'
_cell_length_a 9.019
_cell_length_b 4.244
_cell_length_c 4.246
_cell_angle_alpha 109.15
_cell_angle_beta 77.52
_cell_angle_gamma 98.41
_symmetry_space_group_name_H-M 'P 1'
_symmetry_Int_Tables_number 1
_symmetry_space_group_name_Hall 'P 1'
loop_
_atom_site_label
_atom_site_fract_x
_atom_site_fract_y
_atom_site_fract_z
_atom_site_occupancy
Ni1 0.622 0.713 0.001 1
Ni2 0.619 0.281 0.437 1
S1 0.582 0.179 0.926 1
S2 0.111 0.290 0.993 1
Ba1 0.325 0.687 0.547 1
Ba2 0.898 0.883 0.444 1
```

12.
DFT (PBE-GGA) results for a relaxed structure of InReSi.

Output
* formation energy (no corrections): 0.53 eV/atom
* uncorrected energy: -6.340 eV/atom

CIF file:
```
data_InReSi
_chemical_formula_sum 'In1 Re1 Si1'
_cell_length_a 7.966
_cell_length_b 7.741
_cell_length_c 2.853
_cell_angle_alpha 84.00
_cell_angle_beta 75.14
_cell_angle_gamma 20.87
_symmetry_space_group_name_H-M 'P 1'
_symmetry_Int_Tables_number 1
_symmetry_space_group_name_Hall 'P 1'
loop_
_atom_site_label
_atom_site_fract_x
_atom_site_fract_y
_atom_site_fract_z
_atom_site_occupancy
In1 0.012 0.012 0.988 1
Re1 0.681 0.681 0.319 1
Si1 0.307 0.307 0.693 1
```

| no. | magnetization (μB per formula unit) |
| --- | --- |
| 1 | 0.00 |
| 2 | 0.00 |
| 3 | 4.34 |
| 4 | 0.03 |
| 5 | 0.93 |
| 6 | 0.00 |
| 7 | 3.82 |
| 8 | 0.00 |
| 9 | 0.00 |
| 10 | 0.00 |
| 11 | 0.00 |
| 12 | 0.00 |